{
  "formula": "GeOsIN2",
  "functional": "PBE-GGA",
  "state": "relaxed",
  "total_magnetization_mub_per_cell": 1.882,
  "space_group": "P4/mmm",
  "total_energy_ev_per_cell": -24.1,
  "density_g_cm3": 6.9,
  "de_polymorph_mev_per_atom": 947.5,
  "lattice": [[3.7346, 0.0000, 0.0000], [0.0000, 3.7346, 0.0000], [0.0000, 0.0000, 7.1571]],
  "species": ["I", "Ge", "Os", "N", "N"],
  "frac_coords": [[0.0000, 0.0000, 0.5000], [0.0000, 0.0000, 0.0000], [0.5000, 0.5000, 0.5000], [0.0000, 0.5000, 0.0000], [0.5000, 0.0000, 0.0000]]
}

---

{
  "formula": "GePIN2",
  "functional": "PBE-GGA",
  "state": "relaxed",
  "total_magnetization_mub_per_cell": 0.329,
  "space_group": "P4/mmm",
  "total_energy_ev_per_cell": -20.9,
  "density_g_cm3": 3.6,
  "de_polymorph_mev_per_atom": 96.3,
  "lattice": [[-2.7711, 1.5748, -1.9571], [-5.0329, -0.3646, 6.8327], [1.1828, 3.3887, 1.0520]],
  "species": ["I", "P", "Ge", "N", "N"],
  "frac_coords": [[0.0000, 0.5000, 0.0000], [0.5000, 0.5000, 0.5000], [0.0000, 0.0000, 0.0000], [0.0000, 0.0000, 0.5000], [0.5000, 0.0000, 0.0000]]
}

---

{
  "formula": "GePI2N",
  "functional": "PBE-GGA",
  "state": "relaxed",
  "total_magnetization_mub_per_cell": 0.000,
  "space_group": "P4/mmm",
  "total_energy_ev_per_cell": -16.3,
  "density_g_cm3": 5.2,
  "de_polymorph_mev_per_atom": 382.9,
  "lattice": [[-0.7705, -0.3603, -5.7094], [2.0801, -5.3843, 0.0591], [-3.2813, -1.2619, 0.5225]],
  "species": ["I", "I", "P", "Ge", "N"],
  "frac_coords": [[0.0000, 0.5000, 0.0000], [0.5000, 0.0000, 0.0000], [0.5000, 0.5000, 0.5000], [0.0000, 0.0000, 0.0000], [0.0000, 0.0000, 0.5000]]
}

---

{
  "formula": "GePI2N",
  "functional": "PBE-GGA",
  "state": "relaxed",
  "total_magnetization_mub_per_cell": 0.000,
  "space_group": "P4/mmm",
  "total_energy_ev_per_cell": -15.6,
  "density_g_cm3": 5.8,
  "de_polymorph_mev_per_atom": 522.2,
  "lattice": [[-4.4987, -0.3063, -1.7991], [0.5635, -4.4263, -0.6554], [-1.7212, -0.8785, 4.4536]],
  "species": ["I", "I", "P", "Ge", "N"],
  "frac_coords": [[0.0000, 0.0000, 0.5000], [0.5000, 0.0000, 0.0000], [0.0000, 0.5000, 0.0000], [0.5000, 0.5000, 0.5000], [0.0000, 0.0000, 0.0000]]
}

---

{
  "formula": "GePIN2",
  "functional": "PBE-GGA",
  "state": "relaxed",
  "total_magnetization_mub_per_cell": 1.110,
  "space_group": "P4/mmm",
  "total_energy_ev_per_cell": -21.4,
  "density_g_cm3": 4.5,
  "de_polymorph_mev_per_atom": 0.0,
  "lattice": [[3.7207, 0.0000, 0.0000], [0.0000, 3.7207, 0.0000], [0.0000, 0.0000, 6.9315]],
  "species": ["I", "P", "Ge", "N", "N"],
  "frac_coords": [[0.0000, 0.0000, 0.5000], [0.0000, 0.0000, 0.0000], [0.5000, 0.5000, 0.5000], [0.0000, 0.5000, 0.0000], [0.5000, 0.0000, 0.0000]]
}

---

{
  "formula": "GePI2N",
  "functional": "PBE-GGA",
  "state": "relaxed",
  "total_magnetization_mub_per_cell": 0.000,
  "space_group": "P4/mmm",
  "total_energy_ev_per_cell": -18.3,
  "density_g_cm3": 5.3,
  "de_polymorph_mev_per_atom": 0.0,
  "lattice": [[-2.4695, -1.0387, -5.1833], [-1.3338, -5.4134, 1.7202], [-3.0188, 1.1289, 1.2120]],
  "species": ["I", "I", "P", "Ge", "N"],
  "frac_coords": [[0.0000, 0.5000, 0.0000], [0.5000, 0.0000, 0.0000], [0.0000, 0.0000, 0.0000], [0.5000, 0.5000, 0.5000], [0.0000, 0.0000, 0.5000]]
}

---

{
  "formula": "GePbIN2",
  "functional": "PBE-GGA",
  "state": "relaxed",
  "total_magnetization_mub_per_cell": 1.359,
  "space_group": "P4/mmm",
  "total_energy_ev_per_cell": -18.2,
  "density_g_cm3": 5.3,
  "de_polymorph_mev_per_atom": 403.7,
  "lattice": [[-2.2660, -2.5544, 2.9593], [3.2946, 0.5935, 3.0350], [-3.1166, 5.4496, 2.3175]],
  "species": ["Pb", "I", "Ge", "N", "N"],
  "frac_coords": [[0.0000, 0.0000, 0.0000], [0.0000, 0.0000, 0.5000], [0.5000, 0.5000, 0.5000], [0.0000, 0.5000, 0.0000], [0.5000, 0.0000, 0.0000]]
}

---

{
  "formula": "GePbIN2",
  "functional": "PBE-GGA",
  "state": "relaxed",
  "total_magnetization_mub_per_cell": 0.913,
  "space_group": "P4/mmm",
  "total_energy_ev_per_cell": -20.2,
  "density_g_cm3": 7.1,
  "de_polymorph_mev_per_atom": 0.0,
  "lattice": [[-0.3393, -0.5941, -4.1605], [3.6455, -2.1186, 0.0052], [-2.8351, -4.8760, 0.9276]],
  "species": ["Pb", "I", "Ge", "N", "N"],
  "frac_coords": [[0.5000, 0.5000, 0.5000], [0.0000, 0.0000, 0.5000], [0.0000, 0.0000, 0.0000], [0.0000, 0.5000, 0.0000], [0.5000, 0.0000, 0.0000]]
}

---

Number 1: formation energy from raw total energies 1.98 eV per atom. Number 2: formation energy from raw total energies 1.47 eV per atom. Number 3: formation energy from raw total energies 1.02 eV per atom. Number 4: formation energy from raw total energies 1.16 eV per atom. Number 5: formation energy from raw total energies 1.37 eV per atom. Number 6: formation energy from raw total energies 0.64 eV per atom. Number 7: formation energy from raw total energies 1.67 eV per atom. Number 8: formation energy from raw total energies 1.27 eV per atom.